1.
A PBEsol-optimized structure of Ba3ZnIr2O9. Source: Alexandria, functional SCAN.

Summary:
ΔE_f (raw) = -1.91 eV/atom
SG = P6_3/mmc, No. 194
Calculated total energy = -718.04 eV for the cell shown
Magnetization = 0.000 μB per atom

a b c (Å): 5.747 5.747 14.200
angles (deg): 90.00 90.00 120.00
Fractional coordinates of all 30 atoms:
O: 0.172 0.828 0.417
O: 0.491 0.982 0.250
O: 0.509 0.491 0.750
O: 0.491 0.509 0.250
O: 0.172 0.828 0.083
O: 0.344 0.172 0.917
O: 0.828 0.656 0.583
O: 0.344 0.172 0.583
O: 0.656 0.828 0.083
O: 0.509 0.018 0.750
O: 0.172 0.344 0.083
O: 0.828 0.656 0.917
O: 0.018 0.509 0.250
O: 0.172 0.344 0.417
O: 0.982 0.491 0.750
O: 0.828 0.172 0.583
O: 0.828 0.172 0.917
O: 0.656 0.828 0.417
Ir: 0.333 0.667 0.340
Ir: 0.333 0.667 0.160
Ir: 0.667 0.333 0.840
Ir: 0.667 0.333 0.660
Ba: 0.333 0.667 0.584
Ba: 0.000 0.000 0.250
Ba: 0.000 0.000 0.750
Ba: 0.667 0.333 0.416
Ba: 0.333 0.667 0.916
Ba: 0.667 0.333 0.084
Zn: 0.000 0.000 0.000
Zn: 0.000 0.000 0.500


2.
A PBEsol-optimized structure of Ba2IrOs. Source: Alexandria, functional SCAN.

Summary:
Formation energy = -0.064 eV per atom
SG = Cm, No. 8
Calculated total energy = -222.34 eV for the cell shown
Magnetization = 0.247 μB per atom

a b c (Å): 4.285 4.285 9.000
angles (deg): 77.23 77.23 60.56
Fractional coordinates of all 4 atoms:
Ba: 0.046 0.046 0.879
Ba: 0.204 0.204 0.371
Ir: 0.455 0.455 0.626
Os: 0.796 0.796 0.624